# Nd6Zn2Hg

A relaxed structure of Nd6Zn2Hg (GGA-PBE, Alexandria via LeMat-Bulk).

Properties
M_tot = 0.0000 μB per atom
formation energy = -0.20 eV per atom

Unit cell a=10.040 b=10.262 c=10.358 alpha=90.00 beta=90.00 gamma=90.00
Space group Immm (No. 71)
Asymmetric unit:
Nd (0.000, 0.218, 0.179) (multiplicity 8)
Nd (0.181, 0.232, 0.500) (multiplicity 8)
Nd (0.203, 0.500, 0.252) (multiplicity 8)
Zn (0.000, 0.000, 0.376) (multiplicity 4)
Zn (0.133, 0.000, 0.000) (multiplicity 4)
Hg (0.000, 0.500, 0.000) (multiplicity 2)
Hg (0.000, 0.500, 0.500) (multiplicity 2)

***

# Nd6Zn2Hg

A relaxed structure of Nd6Zn2Hg (GGA-PBE, Alexandria via LeMat-Bulk).

Properties
M_tot = 0.1100 μB per atom
formation energy = -0.22 eV per atom

Unit cell a=5.285 b=12.674 c=15.834 alpha=90.00 beta=90.00 gamma=90.00
Space group Fmmm (No. 69)
Asymmetric unit:
Nd (0.000, 0.147, 0.169) (multiplicity 16)
Nd (0.000, 0.150, 0.500) (multiplicity 8)
Zn (0.000, 0.000, 0.333) (multiplicity 8)
Hg (0.000, 0.000, 0.000) (multiplicity 4)

***

# Nd8ZnHg2

A relaxed structure of Nd8ZnHg2 (GGA-PBE, Alexandria via LeMat-Bulk).

Properties
M_tot = 0.0000 μB per atom
formation energy = -0.21 eV per atom

Unit cell a=18.358 b=5.453 c=6.803 alpha=90.00 beta=92.26 gamma=90.00
Space group C2/m (No. 12)
Asymmetric unit:
Nd (0.031, 0.000, 0.265) (multiplicity 4)
Nd (0.092, 0.500, 0.906) (multiplicity 4)
Nd (0.171, 0.500, 0.407) (multiplicity 4)
Nd (0.210, 0.000, 0.088) (multiplicity 4)
Zn (0.000, 0.500, 0.500) (multiplicity 2)
Hg (0.153, 0.000, 0.642) (multiplicity 4)

***

# Nd4ZnHg5

A relaxed structure of Nd4ZnHg5 (GGA-PBE, Alexandria via LeMat-Bulk).

Properties
M_tot = 0.0000 μB per atom
formation energy = -0.41 eV per atom

Unit cell a=16.209 b=5.259 c=6.500 alpha=90.00 beta=103.98 gamma=90.00
Space group C2/m (No. 12)
Asymmetric unit:
Nd (0.092, 0.000, 0.329) (multiplicity 4)
Nd (0.187, 0.500, 0.817) (multiplicity 4)
Zn (0.000, 0.500, 0.500) (multiplicity 2)
Hg (0.000, 0.500, 0.000) (multiplicity 2)
Hg (0.101, 0.000, 0.847) (multiplicity 4)
Hg (0.215, 0.500, 0.340) (multiplicity 4)

***

# Nd4ZnHg3

A relaxed structure of Nd4ZnHg3 (GGA-PBE, Alexandria via LeMat-Bulk).

Properties
M_tot = 0.1228 μB per atom
formation energy = -0.43 eV per atom

Unit cell a=3.789 b=3.789 c=15.280 alpha=90.00 beta=90.00 gamma=90.00
Space group P4/mmm (No. 123)
Asymmetric unit:
Nd (0.000, 0.000, 0.114) (multiplicity 2)
Nd (0.000, 0.000, 0.372) (multiplicity 2)
Zn (0.500, 0.500, 0.000) (multiplicity 1)
Hg (0.500, 0.500, 0.242) (multiplicity 2)
Hg (0.500, 0.500, 0.500) (multiplicity 1)

***

# Nd5Zn2Hg

A relaxed structure of Nd5Zn2Hg (GGA-PBE, Alexandria via LeMat-Bulk).

Properties
M_tot = 0.0000 μB per atom
formation energy = -0.24 eV per atom

Unit cell a=7.619 b=7.619 c=15.970 alpha=90.00 beta=90.00 gamma=90.00
Space group I4/mcm (No. 140)
Asymmetric unit:
Nd (0.000, 0.000, 0.000) (multiplicity 4)
Nd (0.169, 0.331, 0.148) (multiplicity 16)
Zn (0.119, 0.381, 0.500) (multiplicity 8)
Hg (0.000, 0.000, 0.250) (multiplicity 4)

***

# Nd3Zn2Hg2

A relaxed structure of Nd3Zn2Hg2 (GGA-PBE, Alexandria via LeMat-Bulk).

Properties
M_tot = 0.0000 μB per atom
formation energy = -0.31 eV per atom

Unit cell a=8.775 b=5.071 c=8.445 alpha=90.00 beta=90.03 gamma=90.00
Space group C2/m (No. 12)
Asymmetric unit:
Nd (0.000, 0.000, 0.000) (multiplicity 2)
Nd (0.167, 0.500, 0.640) (multiplicity 4)
Zn (0.000, 0.000, 0.353) (multiplicity 4)
Hg (0.166, 0.500, 0.201) (multiplicity 4)

***

# Nd6ZnHg3

A relaxed structure of Nd6ZnHg3 (GGA-PBE, Alexandria via LeMat-Bulk).

Properties
M_tot = 0.0000 μB per atom
formation energy = -0.31 eV per atom

Unit cell a=9.359 b=5.396 c=11.944 alpha=90.00 beta=107.57 gamma=90.00
Space group P2_1/m (No. 11)
Asymmetric unit:
Nd (0.019, 0.250, 0.404) (multiplicity 2)
Nd (0.161, 0.750, 0.176) (multiplicity 2)
Nd (0.258, 0.250, 0.001) (multiplicity 2)
Nd (0.360, 0.750, 0.828) (multiplicity 2)
Nd (0.371, 0.250, 0.348) (multiplicity 2)
Nd (0.398, 0.250, 0.628) (multiplicity 2)
Zn (0.454, 0.750, 0.103) (multiplicity 2)
Hg (0.029, 0.750, 0.878) (multiplicity 2)
Hg (0.120, 0.250, 0.721) (multiplicity 2)
Hg (0.271, 0.750, 0.472) (multiplicity 2)

***

# Nd3Zn2Hg4

A relaxed structure of Nd3Zn2Hg4 (GGA-PBE, Alexandria via LeMat-Bulk).

Properties
M_tot = 0.0000 μB per atom
formation energy = -0.42 eV per atom

Unit cell a=11.092 b=4.881 c=9.120 alpha=90.00 beta=116.33 gamma=90.00
Space group C2/m (No. 12)
Asymmetric unit:
Nd (0.000, 0.000, 0.000) (multiplicity 2)
Nd (0.162, 0.500, 0.666) (multiplicity 4)
Zn (0.113, 0.500, 0.284) (multiplicity 4)
Hg (0.068, 0.000, 0.391) (multiplicity 4)
Hg (0.213, 0.500, 0.059) (multiplicity 4)

***

# Nd2Zn3Hg

A relaxed structure of Nd2Zn3Hg (GGA-PBE, Alexandria via LeMat-Bulk).

Properties
M_tot = 0.0000 μB per atom
formation energy = -0.37 eV per atom

Unit cell a=7.348 b=9.343 c=16.132 alpha=90.00 beta=90.00 gamma=90.00
Space group Fmmm (No. 69)
Asymmetric unit:
Nd (0.247, 0.000, 0.000) (multiplicity 8)
Nd (0.250, 0.250, 0.250) (multiplicity 8)
Zn (0.000, 0.000, 0.339) (multiplicity 8)
Zn (0.000, 0.242, 0.419) (multiplicity 16)
Hg (0.000, 0.000, 0.167) (multiplicity 8)

***

# NdZn9Hg2

A relaxed structure of NdZn9Hg2 (GGA-PBE, Alexandria via LeMat-Bulk).

Properties
M_tot = 0.0000 μB per atom
formation energy = -0.09 eV per atom

Unit cell a=5.4492 b=5.4492 c=24.9864 alpha=90.00 beta=90.00 gamma=120.00
Space group R-3m (No. 166, hexagonal axes)
Asymmetric unit:
Nd (0.0000, 0.0000, 0.0000) (multiplicity 3)
Zn (0.0000, 0.0000, 0.3329) (multiplicity 6)
Zn (0.0000, 0.0000, 0.5000) (multiplicity 3)
Zn (0.0043, 0.5022, 0.9149) (multiplicity 18)
Hg (0.0000, 0.0000, 0.1368) (multiplicity 6)

***

# Nd6ZnHg

A relaxed structure of Nd6ZnHg (GGA-PBE, Alexandria via LeMat-Bulk).

Properties
M_tot = 0.0000 μB per atom
formation energy = -0.18 eV per atom

Unit cell a=5.270 b=5.270 c=17.914 alpha=90.00 beta=90.00 gamma=90.00
Space group I4/mmm (No. 139)
Asymmetric unit:
Nd (0.000, 0.000, 0.250) (multiplicity 4)
Nd (0.000, 0.500, 0.107) (multiplicity 8)
Zn (0.000, 0.000, 0.000) (multiplicity 2)
Hg (0.000, 0.000, 0.500) (multiplicity 2)

***

# Nd5Zn2Hg2

A relaxed structure of Nd5Zn2Hg2 (GGA-PBE, Alexandria via LeMat-Bulk).

Properties
M_tot = 0.0000 μB per atom
formation energy = -0.30 eV per atom

Unit cell a=17.349 b=7.637 c=7.799 alpha=90.00 beta=90.00 gamma=90.00
Space group Cmce (No. 64)
Asymmetric unit:
Nd (0.000, 0.000, 0.000) (multiplicity 4)
Nd (0.135, 0.184, 0.321) (multiplicity 16)
Zn (0.000, 0.115, 0.620) (multiplicity 8)
Hg (0.220, 0.000, 0.000) (multiplicity 8)

***

# NdZn3Hg

A relaxed structure of NdZn3Hg (GGA-PBE, Alexandria via LeMat-Bulk).

Properties
M_tot = 0.0000 μB per atom
formation energy = -0.25 eV per atom

Unit cell a=5.934 b=5.662 c=6.064 alpha=90.00 beta=92.42 gamma=90.00
Space group P2_1/m (No. 11)
Asymmetric unit:
Nd (0.159, 0.250, 0.175) (multiplicity 2)
Zn (0.039, 0.750, 0.366) (multiplicity 2)
Zn (0.339, 0.000, 0.637) (multiplicity 4)
Hg (0.359, 0.750, 0.043) (multiplicity 2)

***

# Nd12ZnHg6

A relaxed structure of Nd12ZnHg6 (GGA-PBE, Alexandria via LeMat-Bulk).

Properties
M_tot = 0.0002 μB per atom
formation energy = -0.21 eV per atom

Unit cell a=11.7147 b=11.7147 c=14.2989 alpha=90.00 beta=90.00 gamma=120.00
Space group R-3 (No. 148, hexagonal axes)
Asymmetric unit:
Nd (0.0341, 0.8455, 0.3346) (multiplicity 18)
Nd (0.0583, 0.2092, 0.9034) (multiplicity 18)
Zn (0.0000, 0.0000, 0.5000) (multiplicity 3)
Hg (0.0223, 0.5924, 0.2108) (multiplicity 18)

***

# Nd5ZnHg2

A relaxed structure of Nd5ZnHg2 (GGA-PBE, Alexandria via LeMat-Bulk).

Properties
M_tot = 0.0000 μB per atom
formation energy = -0.12 eV per atom

Unit cell a=5.720 b=13.104 c=13.192 alpha=90.00 beta=90.00 gamma=90.00
Space group Cmcm (No. 63)
Asymmetric unit:
Nd (0.000, 0.058, 0.110) (multiplicity 8)
Nd (0.000, 0.374, 0.050) (multiplicity 8)
Nd (0.000, 0.398, 0.750) (multiplicity 4)
Zn (0.000, 0.245, 0.250) (multiplicity 4)
Hg (0.000, 0.194, 0.623) (multiplicity 8)

***

# Nd2Zn5Hg

A relaxed structure of Nd2Zn5Hg (GGA-PBE, Alexandria via LeMat-Bulk).

Properties
M_tot = 0.0000 μB per atom
formation energy = -0.35 eV per atom

Unit cell a=4.443 b=16.663 c=9.077 alpha=90.00 beta=90.00 gamma=90.00
Space group Cmcm (No. 63)
Asymmetric unit:
Nd (0.000, 0.000, 0.000) (multiplicity 4)
Nd (0.000, 0.205, 0.250) (multiplicity 4)
Zn (0.000, 0.184, 0.609) (multiplicity 8)
Zn (0.000, 0.344, 0.518) (multiplicity 8)
Zn (0.000, 0.395, 0.250) (multiplicity 4)
Hg (0.000, 0.446, 0.750) (multiplicity 4)

***

# Nd2ZnHg2

A relaxed structure of Nd2ZnHg2 (GGA-PBE, Alexandria via LeMat-Bulk).

Properties
M_tot = 0.0000 μB per atom
formation energy = -0.37 eV per atom

Unit cell a=17.118 b=5.493 c=5.482 alpha=90.00 beta=90.03 gamma=90.00
Space group C2/c (No. 15)
Asymmetric unit:
Nd (0.100, 0.250, 0.249) (multiplicity 8)
Zn (0.000, 0.250, 0.750) (multiplicity 4)
Hg (0.203, 0.249, 0.748) (multiplicity 8)

***

# Nd2ZnHg2

A relaxed structure of Nd2ZnHg2 (GGA-PBE, Alexandria via LeMat-Bulk).

Properties
M_tot = 0.0000 μB per atom
formation energy = -0.39 eV per atom

Unit cell a=11.206 b=4.643 c=11.317 alpha=90.00 beta=116.64 gamma=90.00
Space group C2/m (No. 12)
Asymmetric unit:
Nd (0.026, 0.000, 0.345) (multiplicity 4)
Nd (0.188, 0.000, 0.106) (multiplicity 4)
Zn (0.222, 0.500, 0.340) (multiplicity 4)
Hg (0.027, 0.500, 0.880) (multiplicity 4)
Hg (0.148, 0.500, 0.573) (multiplicity 4)

***

# Nd2Zn3Hg2

A relaxed structure of Nd2Zn3Hg2 (GGA-PBE, Alexandria via LeMat-Bulk).

Properties
M_tot = 0.0000 μB per atom
formation energy = -0.36 eV per atom

Unit cell a=10.866 b=4.641 c=6.780 alpha=90.00 beta=111.41 gamma=90.00
Space group C2/m (No. 12)
Asymmetric unit:
Nd (0.148, 0.000, 0.266) (multiplicity 4)
Zn (0.000, 0.500, 0.500) (multiplicity 2)
Zn (0.082, 0.500, 0.911) (multiplicity 4)
Hg (0.158, 0.000, 0.757) (multiplicity 4)